Entry 1:
InFeHg2: relaxed, PBE-GGA.

crystal system = orthorhombic
ΔE_f = 397 meV/atom
magnetization = 0.678 μB/atom

abc: 5.917 8.649 3.224
angles: 90.00 90.00 90.00
Space group Cmmm (No. 65)
One atom of each set of equivalent atoms:
1 In 0.000 0.000 0.000
2 Fe 0.000 0.500 0.000
3 Hg 0.250 0.250 0.500

=====

Entry 2:
In4FeHg: relaxed, PBE-GGA.

crystal system = cubic
ΔE_f = 553 meV/atom
magnetization = 0.504 μB/atom

abc: 8.531 8.531 8.531
angles: 90.00 90.00 90.00
Space group F-43m (No. 216)
One atom of each set of equivalent atoms:
1 In 0.125 0.125 0.125
2 Fe 0.250 0.250 0.750
3 Hg 0.000 0.000 0.500

=====

Entry 3:
InFeHg2: relaxed, PBE-GGA.

crystal system = cubic
ΔE_f = 500 meV/atom
magnetization = 0.783 μB/atom

abc: 6.986 6.986 6.986
angles: 90.00 90.00 90.00
Space group F-43m (No. 216)
One atom of each set of equivalent atoms:
1 In 0.000 0.000 0.000
2 Fe 0.250 0.250 0.750
3 Hg 0.000 0.000 0.500
4 Hg 0.250 0.250 0.250